Record 1
# Nd3Cu3Sn4

A relaxed structure of Nd3Cu3Sn4 (PBE-GGA, Alexandria via LeMat-Bulk).

a = 8.4896 Å, b = 8.4896 Å, c = 8.4896 Å
α = 109.47°, β = 109.47°, γ = 109.47°
Positions (direct):
Nd 0.1250 0.7500 0.8750
Nd 0.2500 0.6250 0.3750
Nd 0.3750 0.2500 0.6250
Nd 0.6250 0.3750 0.2500
Nd 0.7500 0.8750 0.1250
Nd 0.8750 0.1250 0.7500
Cu 0.1250 0.8750 0.2500
Cu 0.2500 0.1250 0.8750
Cu 0.3750 0.6250 0.7500
Cu 0.6250 0.7500 0.3750
Cu 0.7500 0.3750 0.6250
Cu 0.8750 0.2500 0.1250
Sn 0.0000 0.3446 0.5000
Sn 0.0000 0.8446 0.5000
Sn 0.1554 0.1554 0.1554
Sn 0.3446 0.5000 0.0000
Sn 0.5000 0.0000 0.3446
Sn 0.5000 0.0000 0.8446
Sn 0.6554 0.6554 0.6554
Sn 0.8446 0.5000 0.0000

Results
DOS(E_F)   13.03 states/eV per cell
Mass density   7.74 g/cm³
Calculated formation energy   -12.3 kcal/mol of atoms

***

Record 2
# Nd3Cu4Sn4

A relaxed structure of Nd3Cu4Sn4 (PBE-GGA, Alexandria via LeMat-Bulk).

a = 4.3285 Å, b = 4.5537 Å, c = 13.2328 Å
α = 80.98°, β = 80.64°, γ = 89.99°
Positions (direct):
Nd 0.0000 0.0000 0.0000
Nd 0.1577 0.6413 0.6891
Nd 0.8423 0.3587 0.3109
Cu 0.2541 0.2927 0.4957
Cu 0.4071 0.9102 0.1935
Cu 0.5929 0.0898 0.8065
Cu 0.7459 0.7073 0.5043
Sn 0.3018 0.8358 0.3916
Sn 0.4422 0.4486 0.1102
Sn 0.5578 0.5514 0.8898
Sn 0.6982 0.1642 0.6084

Results
Relative energy among the computed polymorphs   52 meV per atom
DOS(E_F)   5.50 states/eV per cell
Mass density   7.59 g/cm³
Calculated formation energy   -11.1 kcal/mol of atoms

***

Record 3
# Nd5Cu2Sn5

A relaxed structure of Nd5Cu2Sn5 (PBE-GGA, Alexandria via LeMat-Bulk).

a = 6.6042 Å, b = 6.6042 Å, c = 12.2125 Å
α = 109.16°, β = 109.16°, γ = 40.56°
Positions (direct):
Nd 0.0000 0.0000 0.0000
Nd 0.3413 0.3413 0.5045
Nd 0.3863 0.3863 0.2277
Nd 0.6137 0.6137 0.7723
Nd 0.6587 0.6587 0.4955
Cu 0.2725 0.2725 0.7148
Cu 0.7275 0.7275 0.2852
Sn 0.0000 0.0000 0.5000
Sn 0.1076 0.1076 0.2794
Sn 0.2902 0.2902 0.9395
Sn 0.7098 0.7098 0.0605
Sn 0.8924 0.8924 0.7206

Results
DOS(E_F)   5.63 states/eV per cell
Mass density   7.38 g/cm³
Calculated formation energy   -11.3 kcal/mol of atoms

***

Record 4
# Nd2Cu3Sn2

A relaxed structure of Nd2Cu3Sn2 (PBE-GGA, Alexandria via LeMat-Bulk).

a = 7.5026 Å, b = 7.5026 Å, c = 7.5026 Å
α = 109.47°, β = 109.47°, γ = 109.47°
Positions (direct):
Nd 0.0000 0.5132 0.5000
Nd 0.5000 0.0000 0.5132
Nd 0.5132 0.5000 0.0000
Nd 0.9868 0.9868 0.9868
Cu 0.0315 0.2815 0.7500
Cu 0.2185 0.2500 0.4685
Cu 0.2500 0.4685 0.2185
Cu 0.2815 0.7500 0.0315
Cu 0.4685 0.2185 0.2500
Cu 0.7500 0.0315 0.2815
Sn 0.0000 0.9275 0.5000
Sn 0.5000 0.0000 0.9275
Sn 0.5725 0.5725 0.5725
Sn 0.9275 0.5000 0.0000

Results
DOS(E_F)   12.26 states/eV per cell
Mass density   7.32 g/cm³
Calculated formation energy   -5.2 kcal/mol of atoms